Record 1
The following is a DFT calculation (PBE) of an optimized crystal structure of Tb3NdSm5.

Results
Space group: No. 12
Calculated formation energy, meV/atom: 401.3
V, A^3/atom: 36.07
Offset from the most stable computed form, kJ per mole of atoms: 22.4

Cell: 9.417 9.417 12.445 Å, 126.55 126.55 51.68°
Positions (direct):
Tb 0.000 0.000 0.000
Tb 0.111 0.111 0.812
Tb 0.321 0.321 0.156
Tb 0.500 0.500 0.500
Tb 0.679 0.679 0.844
Tb 0.889 0.889 0.188
Nd 0.262 0.262 0.368
Nd 0.738 0.738 0.632
Sm 0.182 0.818 0.500
Sm 0.195 0.195 0.562
Sm 0.236 0.638 0.724
Sm 0.362 0.764 0.276
Sm 0.368 0.368 0.926
Sm 0.632 0.632 0.074
Sm 0.638 0.236 0.724
Sm 0.764 0.362 0.276
Sm 0.805 0.805 0.438
Sm 0.818 0.182 0.500

Record 2
The following is a DFT calculation (PBE) of an optimized crystal structure of CaRhS3.

Results
Space group: No. 221
V, A^3/atom: 20.85
Uncorrected formation energy, eV per atom: -0.51
Offset from the most stable computed form, kJ per mole of atoms: 0.0

Cell: 4.706 4.706 4.706 Å, 90.00 90.00 90.00°
Positions (direct):
Ca 0.000 0.000 0.000
Rh 0.500 0.500 0.500
S 0.000 0.500 0.500
S 0.500 0.000 0.500
S 0.500 0.500 0.000

Record 3
The following is a DFT calculation (PBE) of an optimized crystal structure of Zn4Ag6Sn.

Results
Space group: No. 121
Calculated formation energy, meV/atom: 157.6
V, A^3/atom: 19.90

Cell: 6.758 6.758 6.758 Å, 119.77 119.77 90.39°
Positions (direct):
Zn 0.266 0.266 0.658
Zn 0.392 0.734 0.000
Zn 0.608 0.608 0.342
Zn 0.734 0.392 0.000
Ag 0.000 0.500 0.500
Ag 0.115 0.431 0.000
Ag 0.431 0.115 0.000
Ag 0.500 0.000 0.500
Ag 0.569 0.569 0.684
Ag 0.885 0.885 0.316
Sn 0.000 0.000 0.000

no.,total magnetization (μB/cell)
1,0.0
2,1.4
3,0.0